Entry 1:
Material: BaSbTe2P
Method: DFT, GGA-PBE
State: optimized geometry

Lattice parameters (Å, degrees): 6.7388 6.7388 6.7753 90.00 90.00 90.00
With the nearest neighbours (Å) after each atom.
Positions (direct):
Ba  0.0000  0.0000  0.0000  4 Te 3.37, 2 Sb 3.39
Sb  0.0000  0.0000  0.5000  2 Ba 3.39
Te  0.0000  0.5000  0.0000  2 Ba 3.37
Te  0.5000  0.0000  0.0000  2 Ba 3.37
P  0.5000  0.5000  0.5000  4 Sb 4.77, 8 Te 4.78

## Properties
The space group is P4/mmm. For the final energy, the calculation gives -2.509 eV per atom.

***

Entry 2:
Material: LaMgSbH2
Method: DFT, GGA-PBE
State: optimized geometry

Lattice parameters (Å, degrees): 4.4001 4.4001 5.7680 90.00 90.00 90.00
With the nearest neighbours (Å) after each atom.
Positions (direct):
La  0.0000  0.0000  0.0000  4 Mg 3.11
Mg  0.5000  0.5000  0.0000  2 Sb 2.88, 4 La 3.11
Sb  0.5000  0.5000  0.5000  4 H 2.20
H  0.0000  0.5000  0.5000  2 Sb 2.20
H  0.5000  0.0000  0.5000  2 Sb 2.20

## Properties
The space group is P4/mmm. For the final energy, the calculation gives -3.004 eV per atom.

***

| no. | magnetization (μB/cell) |
| --- | --- |
| 1 | 2.99 |
| 2 | 0.00 |